Mo2P2W, optimized geometry, DFT PBE; distance to the lowest polymorph of the same formula = 237.5 meV/atom
1.0
-0.5973 -2.7648 -1.7427
0.7312 -1.8397 2.6681
-6.4720 -2.1048 2.3907
P Mo W
2 2 1
Direct
0.7500 0.2500 0.5000
0.2500 0.7500 0.5000
0.3864 0.3864 0.2272
0.6136 0.6136 0.7728
0.0000 0.0000 0.0000

---

MoP2W, optimized geometry, DFT PBE; distance to the lowest polymorph of the same formula = 562.0 meV/atom
1.0
2.7830 0.0030 0.0000
-0.8879 2.6375 0.0000
0.0000 0.0000 9.5066
Mo P W
1 2 1
Direct
0.5000 0.5000 0.7465
0.0000 0.0000 0.9381
0.5000 0.5000 0.3104
0.0000 0.0000 0.5050

---

First-principles (PBE) data for a relaxed Mo2PW crystal, as listed in Alexandria.

```
Mo2PW
1.0
2.9684 0.0000 0.0000
0.0000 4.0824 0.0000
0.0000 0.0000 5.0124
Mo P W
2 1 1
Direct
0.0000 0.0000 0.9963
0.5000 0.5000 0.2606
0.0000 0.0000 0.4971
0.5000 0.5000 0.7459
```

---

First-principles (PBE) data for a relaxed MoPW2 crystal, as listed in Alexandria.

```
MoPW2
1.0
-0.8873 2.3758 4.4026
2.3119 -4.5126 0.3258
2.6180 0.7809 0.7350
Mo P W
1 1 2
Direct
0.5000 0.5000 0.5000
0.0000 0.0000 0.5000
0.5000 0.0000 0.0000
0.0000 0.5000 0.0000
```

---

MoPW, optimized geometry, DFT PBE; distance to the lowest polymorph of the same formula = 508.3 meV/atom
1.0
0.0000 2.8804 2.8804
2.8804 0.0000 2.8804
2.8804 2.8804 0.0000
Mo P W
1 1 1
Direct
0.5000 0.5000 0.5000
0.7500 0.7500 0.7500
0.0000 0.0000 0.0000

---

First-principles (PBE) data for a relaxed Mo2PW crystal, as listed in Alexandria.

```
Mo2PW
1.0
1.6296 -2.3191 0.0000
1.6296 2.3191 0.0000
0.0000 0.0000 8.0275
Mo P W
2 1 1
Direct
0.0000 0.0000 0.9999
0.5000 0.5000 0.7278
0.0000 0.0000 0.5013
0.5000 0.5000 0.2710
```

---

MoP2W, optimized geometry, DFT PBE; distance to the lowest polymorph of the same formula = 368.8 meV/atom
1.0
7.5855 -0.0065 -0.0039
6.9910 2.9437 -0.0039
6.9910 1.4087 2.5847
Mo P W
1 2 1
Direct
0.7500 0.7500 0.7500
0.9999 0.9999 0.9999
0.5001 0.5001 0.5001
0.2500 0.2500 0.2500

---

First-principles (PBE) data for a relaxed MoPW2 crystal, as listed in Alexandria.

```
MoPW2
1.0
3.1842 0.0000 0.0000
0.0000 3.1842 0.0000
0.0000 0.0000 5.9180
Mo P W
1 1 2
Direct
0.5000 0.5000 0.0000
0.5000 0.5000 0.5000
0.0000 0.0000 0.7362
0.0000 0.0000 0.2638
```

---

First-principles (PBE) data for a relaxed Mo2PW crystal, as listed in Alexandria.

```
Mo2PW
1.0
7.4214 0.0000 0.0000
0.0000 7.4214 0.0000
3.7107 3.7107 2.4231
P Mo W
2 4 2
Direct
0.5000 0.5000 0.0000
0.2500 0.7500 0.5000
0.5397 0.1250 0.2500
0.2103 0.6250 0.2500
0.3750 0.4603 0.7500
0.8750 0.7897 0.7500
0.0000 0.0000 0.0000
0.7500 0.2500 0.5000
```

---

First-principles (PBE) data for a relaxed Mo2PW crystal, as listed in Alexandria.

```
Mo2PW
1.0
-5.8549 -1.3841 5.4830
-6.8909 -2.9625 3.1619
-4.8732 -4.1709 5.0114
Mo P W
2 1 1
Direct
0.7577 0.7577 0.7577
0.2423 0.2423 0.2423
0.5000 0.5000 0.5000
0.0000 0.0000 0.0000
```

---

First-principles (PBE) data for a relaxed MoPW2 crystal, as listed in Alexandria.

```
MoPW2
1.0
2.4612 0.2482 4.5280
-2.5130 1.7122 4.1684
-0.7277 -3.4074 -3.8055
Mo P W
1 1 2
Direct
0.5000 0.5000 0.0000
0.7500 0.2500 0.5000
0.0000 0.0000 0.0000
0.2500 0.7500 0.5000
```

---

First-principles (PBE) data for a relaxed Mo2PW crystal, as listed in Alexandria.

```
Mo2PW
1.0
-2.0973 0.2085 2.3435
-1.1670 -3.9306 -0.6947
3.1648 -1.4632 2.9625
Mo P W
2 1 1
Direct
0.0000 0.0000 0.0000
0.5000 0.0000 0.5000
0.5000 0.5000 0.0000
0.0000 0.5000 0.5000
```

---

| no. | formation enthalpy at 0 K (eV per atom) |
| --- | --- |
| 1 | 0.07 |
| 2 | 0.18 |
| 3 | 0.09 |
| 4 | 0.32 |
| 5 | 0.26 |
| 6 | 0.11 |
| 7 | -0.01 |
| 8 | 0.16 |
| 9 | 0.47 |
| 10 | 0.13 |
| 11 | 0.25 |
| 12 | 0.15 |